KBiAs, optimized geometry, DFT PBE-GGA; E above lowest polymorph = 1.24 kJ per mole of atoms; ΔE_f = -0.23 eV/atom; D(E_F) = 0.8 states/eV per cell
1.0
3.917 0.000 0.000
0.000 3.917 0.000
-1.959 -1.959 6.236
Bi As K
1 1 1
direct
0.290 0.290 0.581
0.703 0.703 0.406
0.007 0.007 0.013

=====

La2TbAg6, optimized geometry, DFT PBE-GGA; ΔE_f = -0.27 eV/atom; D(E_F) = 8.4 states/eV per cell
1.0
-2.480 -0.289 -2.589
-5.289 -3.483 5.454
-5.195 4.813 4.438
La Ag Tb
2 6 1
direct
0.000 0.667 0.667
0.000 0.333 0.333
0.500 0.000 0.670
0.500 0.330 0.000
0.500 0.000 0.330
0.500 0.330 0.670
0.500 0.670 0.330
0.500 0.670 0.000
0.000 0.000 0.000

=====

Ca2CrPb, optimized geometry, DFT PBE-GGA; ΔE_f = 0.23 eV/atom; D(E_F) = 2.6 states/eV per cell
1.0
5.407 -0.153 0.007
4.271 3.319 0.007
1.072 0.351 6.441
Pb Ca Cr
1 2 1
direct
0.250 0.250 0.250
0.999 0.999 0.000
0.501 0.501 0.500
0.750 0.750 0.750

=====

ZrVSn2Bi, optimized geometry, DFT PBE-GGA; ΔE_f = 0.63 eV/atom; D(E_F) = 7.0 states/eV per cell
1.0
5.106 0.000 0.000
0.000 5.209 0.000
0.000 0.000 5.106
V Bi Sn Zr
1 1 2 1
direct
0.000 0.000 0.000
0.000 0.500 0.000
0.000 0.000 0.500
0.500 0.000 0.000
0.500 0.500 0.500

=====

Be2InSb, optimized geometry, DFT PBE-GGA; E above lowest polymorph = 14.65 kJ per mole of atoms; D(E_F) = 1.4 states/eV per cell; energy relative to the elements, uncorrected = 0.4202 eV/atom
1.0
-0.928 -3.401 -5.229
4.013 -2.038 -4.417
-1.108 0.554 6.183
Be In Sb
2 1 1
direct
0.820 0.320 0.500
0.911 0.911 0.000
0.515 0.515 0.000
0.255 0.755 0.500

=====

DyScAu, optimized geometry, DFT PBE-GGA; E above lowest polymorph = 11.86 kJ per mole of atoms; ΔE_f = -0.51 eV/atom; D(E_F) = 3.0 states/eV per cell
1.0
-2.191 1.105 -2.484
-0.329 -3.275 -1.166
-3.291 0.246 5.466
Au Dy Sc
1 1 1
direct
0.939 0.939 0.878
0.603 0.603 0.206
0.308 0.308 0.616

=====

What did the first record say?
KBiAs, optimized geometry, DFT PBE-GGA; E above lowest polymorph = 1.24 kJ per mole of atoms; ΔE_f = -0.23 eV/atom; D(E_F) = 0.8 states/eV per cell
1.0
3.917 0.000 0.000
0.000 3.917 0.000
-1.959 -1.959 6.236
Bi As K
1 1 1
direct
0.290 0.290 0.581
0.703 0.703 0.406
0.007 0.007 0.013